DFT (PBE) results for a relaxed AlHgRu2 crystal.

Calculated values
* energy above the lowest structure with this stoichiometry: 35 kJ/mol of formula units
* formation enthalpy at 0 K: 116.3 meV per atom

Cell lengths 8.708, 2.893, 5.196 Å; angles 90.00, 102.28, 90.00 degrees
Space group C2/m (No. 12)
Symmetry-distinct sites (fractional):
Al  0.000  0.000  0.000
Hg  0.000  0.500  0.500
Ru  0.236  0.500  0.210

DFT (PBE) results for a relaxed AlHgRu2 crystal.

Calculated values
* energy above the lowest structure with this stoichiometry: 8 kJ/mol of formula units
* formation enthalpy at 0 K: 47.1 meV per atom

Cell lengths 2.856, 2.856, 7.915 Å; angles 90.00, 90.00, 90.00 degrees
Space group P4mm (No. 99)
Symmetry-distinct sites (fractional):
Al  0.000  0.000  0.000
Hg  0.500  0.500  0.301
Ru  0.000  0.000  0.578
Ru  0.500  0.500  0.788

DFT (PBE) results for a relaxed AlHg2Ru crystal.

Calculated values
* formation enthalpy at 0 K: 401.0 meV per atom

Cell lengths 6.576, 6.576, 6.576 Å; angles 90.00, 90.00, 90.00 degrees
Space group F-43m (No. 216)
Symmetry-distinct sites (fractional):
Al  0.000  0.000  0.000
Hg  0.000  0.000  0.500
Hg  0.250  0.250  0.250
Ru  0.250  0.250  0.750

DFT (PBE) results for a relaxed AlHgRu2 crystal.

Calculated values
* energy above the lowest structure with this stoichiometry: 111 kJ/mol of formula units
* formation enthalpy at 0 K: 314.1 meV per atom

Cell lengths 6.331, 6.331, 6.331 Å; angles 90.00, 90.00, 90.00 degrees
Space group F-43m (No. 216)
Symmetry-distinct sites (fractional):
Al  0.000  0.000  0.000
Hg  0.250  0.250  0.250
Ru  0.000  0.000  0.500
Ru  0.250  0.250  0.750

DFT (PBE) results for a relaxed Al2HgRu crystal.

Calculated values
* formation enthalpy at 0 K: 195.0 meV per atom

Cell lengths 3.292, 4.769, 8.839 Å; angles 90.00, 90.00, 90.00 degrees
Space group Cmm2 (No. 35)
Symmetry-distinct sites (fractional):
Al  0.000  0.000  0.000
Al  0.000  0.500  0.252
Hg  0.000  0.000  0.531
Ru  0.000  0.500  0.798

DFT (PBE) results for a relaxed AlHgRu2 crystal.

Calculated values
* energy above the lowest structure with this stoichiometry: 58 kJ/mol of formula units
* formation enthalpy at 0 K: 176.4 meV per atom

Cell lengths 3.024, 4.770, 8.785 Å; angles 90.00, 90.00, 90.00 degrees
Space group Cmmm (No. 65)
Symmetry-distinct sites (fractional):
Al  0.000  0.000  0.000
Hg  0.000  0.000  0.500
Ru  0.000  0.500  0.224

DFT (PBE) results for a relaxed Al2HgRu crystal.

Calculated values
* formation enthalpy at 0 K: -105.6 meV per atom

Cell lengths 4.015, 4.015, 7.877 Å; angles 90.00, 90.00, 90.00 degrees
Space group I4/mmm (No. 139)
Symmetry-distinct sites (fractional):
Al  0.000  0.500  0.250
Hg  0.000  0.000  0.000
Ru  0.000  0.000  0.500

DFT (PBE) results for a relaxed Al2HgRu crystal.

Calculated values
* formation enthalpy at 0 K: 69.6 meV per atom

Cell lengths 2.9686, 2.9686, 26.8983 Å; angles 90.00, 90.00, 120.00 degrees
Space group R3m (No. 160, hexagonal axes)
Symmetry-distinct sites (fractional):
Al  0.0000  0.0000  0.0000
Al  0.0000  0.0000  0.2477
Hg  0.0000  0.0000  0.4894
Ru  0.0000  0.0000  0.7342

Number 1: calculated density 11.2 Mg/m³. Number 2: calculated density 11.1 Mg/m³. Number 3: calculated density 12.4 Mg/m³. Number 4: calculated density 11.3 Mg/m³. Number 5: calculated density 8.5 Mg/m³. Number 6: calculated density 11.3 Mg/m³. Number 7: calculated density 9.3 Mg/m³. Number 8: calculated density 8.6 Mg/m³.